# KLi2Si (PBE-GGA, relaxed)
data_KLi2Si
_cell_length_a 2.9078
_cell_length_b 4.3496
_cell_length_c 7.9956
_cell_angle_alpha 90.00
_cell_angle_beta 99.98
_cell_angle_gamma 90.00
_symmetry_space_group_name_H-M 'P 1 m 1'
_symmetry_Int_Tables_number 6
_symmetry_space_group_name_Hall 'P -2y'
loop_
_atom_site_label
_atom_site_fract_x
_atom_site_fract_y
_atom_site_fract_z
_atom_site_occupancy
K1 0.0000 0.0000 0.0000 1
Li1 0.7161 0.5000 0.4031 1
Li2 0.8126 0.0000 0.6071 1
Si1 0.3540 0.5000 0.6937 1
# * formation energy from raw total energies: 0.116 eV/atom

---

# BeZn2Ir (PBE-GGA, relaxed)
data_BeZn2Ir
_cell_length_a 5.8882
_cell_length_b 5.8882
_cell_length_c 5.8882
_cell_angle_alpha 90.00
_cell_angle_beta 90.00
_cell_angle_gamma 90.00
_symmetry_space_group_name_H-M 'F -4 3 m'
_symmetry_Int_Tables_number 216
_symmetry_space_group_name_Hall 'F -4 2 3'
loop_
_atom_site_label
_atom_site_fract_x
_atom_site_fract_y
_atom_site_fract_z
_atom_site_occupancy
Be1 0.0000 0.0000 0.0000 1
Zn1 0.0000 0.0000 0.5000 1
Zn2 0.2500 0.2500 0.2500 1
Ir1 0.2500 0.2500 0.7500 1
# * DFT formation energy: -0.13 eV/atom

---

# AlAgP2S (PBE-GGA, relaxed)
data_AlAgP2S
_cell_length_a 4.6646
_cell_length_b 4.6646
_cell_length_c 4.6442
_cell_angle_alpha 90.00
_cell_angle_beta 90.00
_cell_angle_gamma 90.00
_symmetry_space_group_name_H-M 'P 4/m m m'
_symmetry_Int_Tables_number 123
_symmetry_space_group_name_Hall '-P 4 2'
loop_
_atom_site_label
_atom_site_fract_x
_atom_site_fract_y
_atom_site_fract_z
_atom_site_occupancy
Al1 0.0000 0.0000 0.0000 1
Ag1 0.5000 0.5000 0.5000 1
P1 0.0000 0.5000 0.0000 1
S1 0.0000 0.0000 0.5000 1
# * formation energy from raw total energies: 0.593 eV/atom
# * E above lowest polymorph: 0.00 kcal/mol of atoms

---

# LuInRh (PBE-GGA, relaxed)
data_LuInRh
_cell_length_a 7.0183
_cell_length_b 4.0824
_cell_length_c 8.6510
_cell_angle_alpha 90.00
_cell_angle_beta 90.00
_cell_angle_gamma 90.00
_symmetry_space_group_name_H-M 'P n m a'
_symmetry_Int_Tables_number 62
_symmetry_space_group_name_Hall '-P 2ac 2n'
loop_
_atom_site_label
_atom_site_fract_x
_atom_site_fract_y
_atom_site_fract_z
_atom_site_occupancy
Lu1 0.0393 0.2500 0.1765 1
In1 0.1420 0.2500 0.5599 1
Rh1 0.2423 0.2500 0.8639 1
# * DFT formation energy: -0.76 eV/atom

---

# DyGa5Pd7 (PBE-GGA, relaxed)
data_DyGa5Pd7
_cell_length_a 5.3361
_cell_length_b 9.0235
_cell_length_c 8.7676
_cell_angle_alpha 90.00
_cell_angle_beta 90.00
_cell_angle_gamma 90.00
_symmetry_space_group_name_H-M 'I m m 2'
_symmetry_Int_Tables_number 44
_symmetry_space_group_name_Hall 'I 2 -2'
loop_
_atom_site_label
_atom_site_fract_x
_atom_site_fract_y
_atom_site_fract_z
_atom_site_occupancy
Dy1 0.0000 0.0000 0.0000 1
Ga1 0.0000 0.5000 0.2660 1
Ga2 0.2461 0.2591 0.7398 1
Pd1 0.0000 0.0000 0.3380 1
Pd2 0.0000 0.0000 0.6635 1
Pd3 0.0000 0.2951 0.4810 1
Pd4 0.0000 0.3389 0.0023 1
Pd5 0.0000 0.5000 0.7186 1
# * DFT formation energy: -0.63 eV/atom

---

# Ca2LaCdHg4 (PBE-GGA, relaxed)
data_Ca2LaCdHg4
_cell_length_a 5.2550
_cell_length_b 5.2550
_cell_length_c 27.3786
_cell_angle_alpha 90.00
_cell_angle_beta 90.00
_cell_angle_gamma 120.00
_symmetry_space_group_name_H-M 'R -3 m'
_symmetry_Int_Tables_number 166
_symmetry_space_group_name_Hall '-R 3 2"'
loop_
_atom_site_label
_atom_site_fract_x
_atom_site_fract_y
_atom_site_fract_z
_atom_site_occupancy
Ca1 0.0000 0.0000 0.2403 1
La1 0.0000 0.0000 0.0000 1
Cd1 0.0000 0.0000 0.5000 1
Hg1 0.0000 0.0000 0.1224 1
Hg2 0.0000 0.0000 0.3756 1
# * DFT formation energy: -0.45 eV/atom

---

# AgHg2S (PBE-GGA, relaxed)
data_AgHg2S
_cell_length_a 2.9193
_cell_length_b 2.9193
_cell_length_c 36.6069
_cell_angle_alpha 90.00
_cell_angle_beta 90.00
_cell_angle_gamma 120.00
_symmetry_space_group_name_H-M 'R -3 m'
_symmetry_Int_Tables_number 166
_symmetry_space_group_name_Hall '-R 3 2"'
loop_
_atom_site_label
_atom_site_fract_x
_atom_site_fract_y
_atom_site_fract_z
_atom_site_occupancy
Ag1 0.0000 0.0000 0.0000 1
Hg1 0.0000 0.0000 0.0844 1
S1 0.0000 0.0000 0.5000 1
# * formation energy from raw total energies: 0.437 eV/atom

---

# AgSb2Te (PBE-GGA, relaxed)
data_AgSb2Te
_cell_length_a 5.3944
_cell_length_b 5.3944
_cell_length_c 3.5225
_cell_angle_alpha 90.00
_cell_angle_beta 90.00
_cell_angle_gamma 90.00
_symmetry_space_group_name_H-M 'P 4/m m m'
_symmetry_Int_Tables_number 123
_symmetry_space_group_name_Hall '-P 4 2'
loop_
_atom_site_label
_atom_site_fract_x
_atom_site_fract_y
_atom_site_fract_z
_atom_site_occupancy
Ag1 0.0000 0.0000 0.0000 1
Sb1 0.0000 0.5000 0.5000 1
Te1 0.5000 0.5000 0.0000 1
# * formation energy from raw total energies: 0.275 eV/atom

---

# NdTmZn4 (PBE-GGA, relaxed)
data_NdTmZn4
_cell_length_a 7.7759
_cell_length_b 7.7759
_cell_length_c 7.7759
_cell_angle_alpha 90.00
_cell_angle_beta 90.00
_cell_angle_gamma 90.00
_symmetry_space_group_name_H-M 'F -4 3 m'
_symmetry_Int_Tables_number 216
_symmetry_space_group_name_Hall 'F -4 2 3'
loop_
_atom_site_label
_atom_site_fract_x
_atom_site_fract_y
_atom_site_fract_z
_atom_site_occupancy
Nd1 0.0000 0.0000 0.0000 1
Tm1 0.2500 0.2500 0.7500 1
Zn1 0.1247 0.1247 0.3753 1
# * DFT formation energy: -0.32 eV/atom
# * E above lowest polymorph: 0.73 kcal/mol of atoms

---

# InSe2S (PBE-GGA, relaxed)
data_InSe2S
_cell_length_a 5.3946
_cell_length_b 5.3946
_cell_length_c 15.3195
_cell_angle_alpha 90.00
_cell_angle_beta 90.00
_cell_angle_gamma 90.00
_symmetry_space_group_name_H-M 'I -4 2 d'
_symmetry_Int_Tables_number 122
_symmetry_space_group_name_Hall 'I -4 2bw'
loop_
_atom_site_label
_atom_site_fract_x
_atom_site_fract_y
_atom_site_fract_z
_atom_site_occupancy
In1 0.0000 0.0000 0.0000 1
Se1 0.2017 0.2500 0.6250 1
S1 0.0000 0.0000 0.5000 1
# * formation energy from raw total energies: 0.127 eV/atom
# * E above lowest polymorph: 3.18 kcal/mol of atoms

---

# InFeSb (PBE-GGA, relaxed)
data_InFeSb
_cell_length_a 6.6282
_cell_length_b 6.7378
_cell_length_c 6.7814
_cell_angle_alpha 62.99
_cell_angle_beta 83.67
_cell_angle_gamma 75.88
_symmetry_space_group_name_H-M 'P 1'
_symmetry_Int_Tables_number 1
_symmetry_space_group_name_Hall 'P 1'
loop_
_atom_site_label
_atom_site_fract_x
_atom_site_fract_y
_atom_site_fract_z
_atom_site_occupancy
In1 0.0000 0.0000 0.0000 1
In2 0.0134 0.5085 0.9763 1
In3 0.4506 0.1323 0.9422 1
In4 0.8442 0.7896 0.4582 1
Fe1 0.1083 0.3709 0.6554 1
Fe2 0.1865 0.5689 0.2628 1
Fe3 0.6740 0.2230 0.1932 1
Fe4 0.7325 0.4145 0.7823 1
Sb1 0.3591 0.1317 0.4638 1
Sb2 0.3820 0.6367 0.5349 1
Sb3 0.4979 0.6518 0.9858 1
Sb4 0.8426 0.2800 0.4742 1
# * formation energy from raw total energies: 0.133 eV/atom
# * E above lowest polymorph: 0.00 kcal/mol of atoms

---

# CaSe2N2 (PBE-GGA, relaxed)
data_CaSe2N2
_cell_length_a 5.8617
_cell_length_b 5.8617
_cell_length_c 4.7979
_cell_angle_alpha 90.00
_cell_angle_beta 90.00
_cell_angle_gamma 90.00
_symmetry_space_group_name_H-M 'P 4/m m m'
_symmetry_Int_Tables_number 123
_symmetry_space_group_name_Hall '-P 4 2'
loop_
_atom_site_label
_atom_site_fract_x
_atom_site_fract_y
_atom_site_fract_z
_atom_site_occupancy
Ca1 0.0000 0.0000 0.0000 1
Se1 0.0000 0.5000 0.0000 1
N1 0.0000 0.0000 0.5000 1
N2 0.5000 0.5000 0.5000 1
# * formation energy from raw total energies: 1.758 eV/atom
# * E above lowest polymorph: 24.77 kcal/mol of atoms

---

# Na2TlIn2Pb4 (PBE-GGA, relaxed)
data_Na2TlIn2Pb4
_cell_length_a 17.6551
_cell_length_b 3.5278
_cell_length_c 9.4288
_cell_angle_alpha 90.00
_cell_angle_beta 114.92
_cell_angle_gamma 90.00
_symmetry_space_group_name_H-M 'C 1 2/m 1'
_symmetry_Int_Tables_number 12
_symmetry_space_group_name_Hall '-C 2y'
loop_
_atom_site_label
_atom_site_fract_x
_atom_site_fract_y
_atom_site_fract_z
_atom_site_occupancy
Na1 0.1494 0.0000 0.1684 1
Tl1 0.0000 0.0000 0.5000 1
In1 0.1679 0.5000 0.5006 1
Pb1 0.0155 0.5000 0.8293 1
Pb2 0.1800 0.0000 0.8261 1
# * DFT formation energy: -0.07 eV/atom

---

# SrPmGa4 (PBE-GGA, relaxed)
data_SrPmGa4
_cell_length_a 4.3166
_cell_length_b 4.3166
_cell_length_c 8.9973
_cell_angle_alpha 90.00
_cell_angle_beta 90.00
_cell_angle_gamma 120.00
_symmetry_space_group_name_H-M 'P 6/m m m'
_symmetry_Int_Tables_number 191
_symmetry_space_group_name_Hall '-P 6 2'
loop_
_atom_site_label
_atom_site_fract_x
_atom_site_fract_y
_atom_site_fract_z
_atom_site_occupancy
Sr1 0.0000 0.0000 0.0000 1
Pm1 0.0000 0.0000 0.5000 1
Ga1 0.3333 0.6667 0.2704 1
# * DFT formation energy: -0.59 eV/atom
# * E above lowest polymorph: 0.00 kcal/mol of atoms

---

# Cs2SrTbF6 (PBE-GGA, relaxed)
data_Cs2SrTbF6
_cell_length_a 11.8061
_cell_length_b 6.8309
_cell_length_c 6.8158
_cell_angle_alpha 90.00
_cell_angle_beta 125.16
_cell_angle_gamma 90.00
_symmetry_space_group_name_H-M 'C 1 2/m 1'
_symmetry_Int_Tables_number 12
_symmetry_space_group_name_Hall '-C 2y'
loop_
_atom_site_label
_atom_site_fract_x
_atom_site_fract_y
_atom_site_fract_z
_atom_site_occupancy
Cs1 0.2491 0.0000 0.2491 1
Sr1 0.0000 0.5000 0.0000 1
Tb1 0.0000 0.0000 0.5000 1
F1 0.0002 0.2322 0.2651 1
F2 0.2335 0.0000 0.7335 1
# * formation energy from raw total energies: -3.262 eV/atom

---

# Ho3ZnSi2 (PBE-GGA, relaxed)
data_Ho3ZnSi2
_cell_length_a 11.3032
_cell_length_b 4.1602
_cell_length_c 11.4003
_cell_angle_alpha 90.00
_cell_angle_beta 90.00
_cell_angle_gamma 90.00
_symmetry_space_group_name_H-M 'P n m a'
_symmetry_Int_Tables_number 62
_symmetry_space_group_name_Hall '-P 2ac 2n'
loop_
_atom_site_label
_atom_site_fract_x
_atom_site_fract_y
_atom_site_fract_z
_atom_site_occupancy
Ho1 0.0560 0.2500 0.1219 1
Ho2 0.1282 0.7500 0.5653 1
Ho3 0.2026 0.2500 0.8033 1
Zn1 0.1359 0.2500 0.3645 1
Si1 0.0219 0.7500 0.3194 1
Si2 0.1865 0.7500 0.9982 1
# * formation energy from raw total energies: -0.635 eV/atom

---

# AlSb3 (PBE-GGA, relaxed)
data_AlSb3
_cell_length_a 5.9133
_cell_length_b 5.9133
_cell_length_c 5.9133
_cell_angle_alpha 90.00
_cell_angle_beta 90.00
_cell_angle_gamma 90.00
_symmetry_space_group_name_H-M 'P m -3 n'
_symmetry_Int_Tables_number 223
_symmetry_space_group_name_Hall '-P 4n 2 3'
loop_
_atom_site_label
_atom_site_fract_x
_atom_site_fract_y
_atom_site_fract_z
_atom_site_occupancy
Al1 0.0000 0.0000 0.0000 1
Sb1 0.0000 0.2500 0.5000 1
# * formation energy from raw total energies: 0.398 eV/atom
# * E above lowest polymorph: 7.97 kcal/mol of atoms

---

# MnCr2Rh (PBE-GGA, relaxed)
data_MnCr2Rh
_cell_length_a 5.9537
_cell_length_b 5.9537
_cell_length_c 5.9537
_cell_angle_alpha 90.00
_cell_angle_beta 90.00
_cell_angle_gamma 90.00
_symmetry_space_group_name_H-M 'F m -3 m'
_symmetry_Int_Tables_number 225
_symmetry_space_group_name_Hall '-F 4 2 3'
loop_
_atom_site_label
_atom_site_fract_x
_atom_site_fract_y
_atom_site_fract_z
_atom_site_occupancy
Mn1 0.0000 0.0000 0.0000 1
Cr1 0.2500 0.2500 0.2500 1
Rh1 0.0000 0.0000 0.5000 1
# * DFT formation energy: 0.12 eV/atom
# * E above lowest polymorph: 2.82 kcal/mol of atoms

---

# Ac2Pm2NdSm (PBE-GGA, relaxed)
data_Ac2Pm2NdSm
_cell_length_a 5.9700
_cell_length_b 10.2571
_cell_length_c 7.3828
_cell_angle_alpha 90.00
_cell_angle_beta 90.00
_cell_angle_gamma 90.00
_symmetry_space_group_name_H-M 'P m c 21'
_symmetry_Int_Tables_number 26
_symmetry_space_group_name_Hall 'P 2c -2'
loop_
_atom_site_label
_atom_site_fract_x
_atom_site_fract_y
_atom_site_fract_z
_atom_site_occupancy
Ac1 0.0000 0.0005 0.0000 1
Ac2 0.5000 0.1723 0.2503 1
Pm1 0.0000 0.3439 0.2500 1
Pm2 0.5000 0.1743 0.7498 1
Nd1 0.5000 0.4997 0.9997 1
Sm1 0.0000 0.3347 0.7495 1
# * DFT formation energy: 0.08 eV/atom

---

# Fe4P (PBE-GGA, relaxed)
data_Fe4P
_cell_length_a 4.1334
_cell_length_b 4.1334
_cell_length_c 4.1334
_cell_angle_alpha 90.00
_cell_angle_beta 90.00
_cell_angle_gamma 90.00
_symmetry_space_group_name_H-M 'P m -3 m'
_symmetry_Int_Tables_number 221
_symmetry_space_group_name_Hall '-P 4 2 3'
loop_
_atom_site_label
_atom_site_fract_x
_atom_site_fract_y
_atom_site_fract_z
_atom_site_occupancy
Fe1 0.0000 0.0000 0.0000 1
Fe2 0.0000 0.5000 0.5000 1
P1 0.5000 0.5000 0.5000 1
# * DFT formation energy: 0.41 eV/atom
# * E above lowest polymorph: 11.85 kcal/mol of atoms

---

# Sr2PrNdSe4 (PBE-GGA, relaxed)
data_Sr2PrNdSe4
_cell_length_a 7.4379
_cell_length_b 4.2996
_cell_length_c 7.6181
_cell_angle_alpha 90.00
_cell_angle_beta 109.03
_cell_angle_gamma 90.00
_symmetry_space_group_name_H-M 'P 1 2/m 1'
_symmetry_Int_Tables_number 10
_symmetry_space_group_name_Hall '-P 2y'
loop_
_atom_site_label
_atom_site_fract_x
_atom_site_fract_y
_atom_site_fract_z
_atom_site_occupancy
Sr1 0.0000 0.0000 0.0000 1
Sr2 0.5000 0.5000 0.0000 1
Pr1 0.0000 0.5000 0.5000 1
Nd1 0.5000 0.0000 0.5000 1
Se1 0.2493 0.0000 0.7431 1
Se2 0.2538 0.5000 0.2579 1
# * formation energy from raw total energies: -1.922 eV/atom

---

# BaSc3Cu (PBE-GGA, relaxed)
data_BaSc3Cu
_cell_length_a 5.2148
_cell_length_b 5.2148
_cell_length_c 5.2148
_cell_angle_alpha 90.00
_cell_angle_beta 90.00
_cell_angle_gamma 90.00
_symmetry_space_group_name_H-M 'P m -3 m'
_symmetry_Int_Tables_number 221
_symmetry_space_group_name_Hall '-P 4 2 3'
loop_
_atom_site_label
_atom_site_fract_x
_atom_site_fract_y
_atom_site_fract_z
_atom_site_occupancy
Ba1 0.0000 0.0000 0.0000 1
Sc1 0.0000 0.5000 0.5000 1
Cu1 0.5000 0.5000 0.5000 1
# * DFT formation energy: 0.16 eV/atom
# * E above lowest polymorph: 0.00 kcal/mol of atoms

---

# Er2TmMg8 (PBE-GGA, relaxed)
data_Er2TmMg8
_cell_length_a 4.5939
_cell_length_b 4.5939
_cell_length_c 14.0185
_cell_angle_alpha 90.00
_cell_angle_beta 90.00
_cell_angle_gamma 90.00
_symmetry_space_group_name_H-M 'P 4/m m m'
_symmetry_Int_Tables_number 123
_symmetry_space_group_name_Hall '-P 4 2'
loop_
_atom_site_label
_atom_site_fract_x
_atom_site_fract_y
_atom_site_fract_z
_atom_site_occupancy
Er1 0.0000 0.0000 0.1710 1
Tm1 0.0000 0.0000 0.5000 1
Mg1 0.0000 0.5000 0.0000 1
Mg2 0.0000 0.5000 0.3349 1
Mg3 0.5000 0.5000 0.1643 1
# * DFT formation energy: 0.09 eV/atom
# * E above lowest polymorph: 0.51 kcal/mol of atoms

---

# BaAg2W (PBE-GGA, relaxed)
data_BaAg2W
_cell_length_a 9.4289
_cell_length_b 3.0076
_cell_length_c 6.8676
_cell_angle_alpha 90.00
_cell_angle_beta 96.99
_cell_angle_gamma 90.00
_symmetry_space_group_name_H-M 'C 1 m 1'
_symmetry_Int_Tables_number 8
_symmetry_space_group_name_Hall 'C -2y'
loop_
_atom_site_label
_atom_site_fract_x
_atom_site_fract_y
_atom_site_fract_z
_atom_site_occupancy
Ba1 0.0000 0.0000 0.0000 1
Ag1 0.0026 0.5000 0.5237 1
Ag2 0.2640 0.5000 0.3174 1
W1 0.2446 0.0000 0.6612 1
# * DFT formation energy: 0.88 eV/atom
# * E above lowest polymorph: 3.27 kcal/mol of atoms

---

# La4HoMg2 (PBE-GGA, relaxed)
data_La4HoMg2
_cell_length_a 5.6313
_cell_length_b 5.6313
_cell_length_c 25.2236
_cell_angle_alpha 90.00
_cell_angle_beta 90.00
_cell_angle_gamma 120.00
_symmetry_space_group_name_H-M 'R -3 m'
_symmetry_Int_Tables_number 166
_symmetry_space_group_name_Hall '-R 3 2"'
loop_
_atom_site_label
_atom_site_fract_x
_atom_site_fract_y
_atom_site_fract_z
_atom_site_occupancy
La1 0.0000 0.0000 0.0769 1
La2 0.0000 0.0000 0.3450 1
Ho1 0.0000 0.0000 0.5000 1
Mg1 0.0000 0.0000 0.2102 1
# * DFT formation energy: 0.00 eV/atom